[1]
Here is crystalline LiAgS2 at its relaxed geometry from Alexandria via LeMat-Bulk. Energies are from PBE.

It has space group I-42d (No. 122), with a = 4.551 Å, b = 4.551 Å, c = 14.779 Å, α = 90.00°, β = 90.00° and γ = 90.00°. The inequivalent atoms are Li at (0.000, 0.000, 0.000), Ag at (0.000, 0.000, 0.500) and S at (0.225, 0.250, 0.125).

The calculation puts the total magnetization at 0.0000 μB/atom. As for the energy: -3.45 eV/atom. Its density is 3.883 g/cm3. The calculation puts the energy above the most stable polymorph in this dataset at 0.0 kJ per mole of atoms.



[2]
Here is crystalline Re2Ir at its relaxed geometry from Alexandria via LeMat-Bulk. Energies are from PBE.

It has space group C2/m (No. 12), with a = 10.075 Å, b = 2.751 Å, c = 6.552 Å, α = 90.00°, β = 103.57° and γ = 90.00°. The inequivalent atoms are Re at (0.139, 0.000, 0.024), Re at (0.193, 0.000, 0.642) and Ir at (0.029, 0.500, 0.305).

The calculation puts the total magnetization at 0.0000 μB/atom. The calculation puts the formation energy at -186.7 meV/atom. As for the energy: -11.44 eV/atom. Its density is 21.245 g/cm3. The calculation puts the energy above the most stable polymorph in this dataset at 0.6 kJ per mole of atoms.



[3]
Here is crystalline LiCePa2N4 at its relaxed geometry from Alexandria via LeMat-Bulk. Energies are from PBE.

It has space group Cmcm (No. 63), with a = 3.555 Å, b = 11.496 Å, c = 11.302 Å, α = 90.00°, β = 90.00° and γ = 90.00°. The inequivalent atoms are Li at (0.000, 0.164, 0.250), Ce at (0.000, 0.101, 0.750), Pa at (0.000, 0.371, 0.558), N at (0.000, 0.000, 0.000), N at (0.000, 0.262, 0.109) and N at (0.000, 0.442, 0.750).

The calculation puts the total magnetization at 0.1724 μB/atom. As for the energy: -8.90 eV/atom. Its density is 9.566 g/cm3.